Entry 1:
# GaNiPCl2

An optimized crystal structure of GaNiPCl2 (PBE, Alexandria).

Properties
Density, g/cm³: 3.58
Volume, Å³/atom: 21.36
Formation energy from raw total energies, kJ/mol of atoms: 0
Energy above the most stable polymorph in this dataset, eV/atom: 0.0000
M_tot, μB/f.u.: 0.81

Unit cell a=4.9990 b=4.9990 c=4.2732 alpha=90.00 beta=90.00 gamma=90.00
With the nearest neighbours (Å) after each atom.
Space group P4/mmm (No. 123)
Unique sites:
Ga 0.0000 0.0000 0.0000  8 Cl 3.29, 4 P 3.53
Ni 0.5000 0.5000 0.5000  2 P 2.14
P 0.5000 0.5000 0.0000  2 Ni 2.14
Cl 0.0000 0.5000 0.5000  2 Ni 2.50

=====

Entry 2:
# ZrTa2As

An optimized crystal structure of ZrTa2As (PBE, Alexandria).

Properties
Density, g/cm³: 11.64
Volume, Å³/atom: 18.83
Formation energy, meV per atom: -216
M_tot, μB/f.u.: 0.00

Unit cell a=3.5670 b=4.9513 c=8.5315 alpha=90.00 beta=90.00 gamma=90.00
With the nearest neighbours (Å) after each atom.
Space group Cmm2 (No. 35)
Unique sites:
Zr 0.0000 0.0000 0.0000  2 As 2.73, 2 Ta 2.96, 4 Zr 3.05
Ta 0.0000 0.0000 0.5299  2 As 2.63, 2 Ta 2.80
Ta 0.0000 0.5000 0.2765  6 Ta 2.80-3.05, 2 Zr 2.96
As 0.0000 0.5000 0.7572  2 Ta 2.63, 2 Zr 2.73

=====

Entry 3:
# Ba2PtBr

An optimized crystal structure of Ba2PtBr (PBE, Alexandria).

Properties
Density, g/cm³: 7.46
Volume, Å³/atom: 30.59
Formation energy from raw total energies, kJ/mol of atoms: -46
Energy above the most stable polymorph in this dataset, eV/atom: 0.7965
M_tot, μB/f.u.: 0.00

Unit cell a=7.8811 b=7.8811 c=7.8811 alpha=90.00 beta=90.00 gamma=90.00
With the nearest neighbours (Å) after each atom.
Space group F-43m (No. 216)
Unique sites:
Ba 0.0000 0.0000 0.0000  4 Ba 3.41, 4 Pt 3.41
Ba 0.2500 0.2500 0.2500  4 Ba 3.41, 4 Br 3.41
Pt 0.2500 0.2500 0.7500  4 Ba 3.41, 4 Br 3.41
Br 0.0000 0.0000 0.5000  4 Ba 3.41, 4 Pt 3.41

=====

Entry 4:
# KAgGeI2

An optimized crystal structure of KAgGeI2 (PBE, Alexandria).

Properties
Density, g/cm³: 3.80
Volume, Å³/atom: 41.40
Formation energy from raw total energies, kJ/mol of atoms: 16
M_tot, μB/f.u.: 1.98

Unit cell a=5.7543 b=5.7543 c=6.2520 alpha=90.00 beta=90.00 gamma=90.00
With the nearest neighbours (Å) after each atom.
Space group P4/mmm (No. 123)
Unique sites:
K 0.0000 0.0000 0.0000  2 Ag 3.13
Ag 0.0000 0.0000 0.5000  4 I 2.88, 2 K 3.13
Ge 0.5000 0.5000 0.0000  4 K 4.07, 8 I 4.25
I 0.0000 0.5000 0.5000  2 Ag 2.88

=====

Entry 5:
# Pm6SiTe5

An optimized crystal structure of Pm6SiTe5 (PBE, Alexandria).

Properties
Density, g/cm³: 6.85
Volume, Å³/atom: 31.02
Formation energy from raw total energies, kJ/mol of atoms: -132
M_tot, μB/f.u.: 0.00

Unit cell a=7.6996 b=13.3050 c=7.7038 alpha=90.00 beta=109.36 gamma=90.00
With the nearest neighbours (Å) after each atom.
Space group C2/m (No. 12)
Unique sites:
Pm 0.2266 0.0000 0.2642  1 Si 2.91, 4 Te 3.17-3.19
Pm 0.2300 0.1536 0.7314  1 Si 2.90, 4 Te 3.15-3.17
Si 0.0000 0.0000 0.5000  6 Pm 2.90-2.91
Te 0.0000 0.1742 0.0000  6 Pm 3.15-3.32
Te 0.0000 0.3349 0.5000  6 Pm 3.16-3.17
Te 0.0000 0.5000 0.0000  6 Pm 3.15-3.38

=====

Entry 6:
# Pm3Al4Ir4

An optimized crystal structure of Pm3Al4Ir4 (PBE, Alexandria).

Properties
Density, g/cm³: 9.60
Volume, Å³/atom: 20.63
Formation energy, meV per atom: -688
Energy above the most stable polymorph in this dataset, eV/atom: 0.1083
M_tot, μB/f.u.: 0.00

Unit cell a=7.6851 b=7.6851 c=7.6851 alpha=90.00 beta=90.00 gamma=90.00
With the nearest neighbours (Å) after each atom.
Space group I-43m (No. 217)
Unique sites:
Pm 0.0000 0.0000 0.5000  4 Ir 3.15, 4 Al 3.17
Al 0.1306 0.1306 0.8694  4 Ir 2.42-2.52
Ir 0.1875 0.1875 0.1875  4 Al 2.42-2.52

=====

Entry 7:
# AgRuSe2

An optimized crystal structure of AgRuSe2 (PBE, Alexandria).

Properties
Density, g/cm³: 7.72
Volume, Å³/atom: 19.73
Formation energy from raw total energies, kJ/mol of atoms: 1
Energy above the most stable polymorph in this dataset, eV/atom: 0.0941
M_tot, μB/f.u.: 0.80

Unit cell a=3.5462 b=3.5462 c=21.7402 alpha=90.00 beta=90.00 gamma=120.00
With the nearest neighbours (Å) after each atom.
Space group R-3m (No. 166, hexagonal axes)
Unique sites:
Ag 0.0000 0.0000 0.0000  6 Se 2.96
Ru 0.0000 0.0000 0.5000  6 Se 2.53
Se 0.0000 0.0000 0.2348  3 Ru 2.53

=====

Entry 8:
# ThSn2Ge

An optimized crystal structure of ThSn2Ge (PBE, Alexandria).

Properties
Density, g/cm³: 7.88
Volume, Å³/atom: 28.56
Formation energy, meV per atom: 236
Energy above the most stable polymorph in this dataset, eV/atom: 0.6761
M_tot, μB/f.u.: 0.00

Unit cell a=3.5278 b=3.5278 c=31.8022 alpha=90.00 beta=90.00 gamma=120.00
With the nearest neighbours (Å) after each atom.
Space group R-3m (No. 166, hexagonal axes)
Unique sites:
Th 0.0000 0.0000 0.0000  2 Sn 3.22, 6 Th 3.53
Sn 0.0000 0.0000 0.1013  3 Ge 2.91, 1 Th 3.22
Ge 0.0000 0.0000 0.5000  6 Sn 2.91

=====

Entry 9:
# Ac2PmBr

An optimized crystal structure of Ac2PmBr (PBE, Alexandria).

Properties
Density, g/cm³: 7.45
Volume, Å³/atom: 37.85
Formation energy from raw total energies, kJ/mol of atoms: -47
Energy above the most stable polymorph in this dataset, eV/atom: 0.0534
M_tot, μB/f.u.: 0.00

Unit cell a=3.8520 b=3.8520 c=10.2029 alpha=90.00 beta=90.00 gamma=90.00
With the nearest neighbours (Å) after each atom.
Space group P4/mmm (No. 123)
Unique sites:
Ac 0.0000 0.0000 0.2390  4 Br 3.66, 4 Pm 3.81, 4 Ac 3.85
Pm 0.5000 0.5000 0.5000  8 Ac 3.81, 4 Pm 3.85
Br 0.5000 0.5000 0.0000  8 Ac 3.66, 4 Br 3.85

=====

Entry 10:
# Ca2AlMo

An optimized crystal structure of Ca2AlMo (PBE, Alexandria).

Properties
Density, g/cm³: 3.49
Volume, Å³/atom: 24.19
Formation energy, meV per atom: 390
M_tot, μB/f.u.: 0.00

Unit cell a=4.7455 b=3.2159 c=12.6789 alpha=90.00 beta=90.00 gamma=90.00
With the nearest neighbours (Å) after each atom.
Space group Amm2 (No. 38)
Unique sites:
Ca 0.0000 0.0000 0.0000  2 Al 3.10, 4 Mo 3.18, 2 Ca 3.22
Ca 0.5000 0.0000 0.3214  2 Mo 3.14, 4 Al 3.20, 2 Ca 3.22
Al 0.0000 0.0000 0.7093  2 Mo 2.69
Mo 0.5000 0.0000 0.6090  2 Al 2.69

=====

Entry 11:
# Ca5SnBr12

An optimized crystal structure of Ca5SnBr12 (PBE, Alexandria).

Properties
Density, g/cm³: 3.10
Volume, Å³/atom: 38.06
Formation energy from raw total energies, kJ/mol of atoms: -177
M_tot, μB/f.u.: 0.00

Unit cell a=7.4620 b=12.9455 c=14.1842 alpha=90.00 beta=90.05 gamma=90.00
With the nearest neighbours (Å) after each atom.
Space group C2/m (No. 12)
Unique sites:
Ca 0.0000 0.0000 0.0000  6 Br 2.93
Ca 0.0000 0.1666 0.5000  6 Br 2.93
Ca 0.0000 0.3334 0.0000  6 Br 2.93
Sn 0.0000 0.5000 0.5000  6 Br 3.01
Br 0.1572 0.0000 0.6122  2 Ca 2.93, 1 Sn 3.01
Br 0.1663 0.1667 0.8907  3 Ca 2.93
Br 0.1663 0.5000 0.8907  3 Ca 2.93
Br 0.1713 0.3286 0.6122  2 Ca 2.93, 1 Sn 3.01

=====

Entry 12:
# Ta2NiPt

An optimized crystal structure of Ta2NiPt (PBE, Alexandria).

Properties
Density, g/cm³: 16.32
Volume, Å³/atom: 15.66
Formation energy, meV per atom: -376
M_tot, μB/f.u.: 0.00

Unit cell a=2.7924 b=4.5527 c=4.9373 alpha=90.00 beta=93.38 gamma=90.00
With the nearest neighbours (Å) after each atom.
Space group Pm (No. 6)
Unique sites:
Ta 0.0000 0.0000 0.0000  4 Ni 2.66-2.85, 3 Pt 2.74-2.78, 4 Ta 2.79-2.93
Ta 0.1300 0.5000 0.6386  4 Ni 2.68-2.97, 4 Pt 2.71-2.86, 4 Ta 2.79-2.93
Ni 0.5788 0.5000 0.1339  8 Ta 2.66-2.97, 2 Ni 2.79, 2 Pt 2.85
Pt 0.5574 0.0000 0.4798  7 Ta 2.71-2.86, 2 Pt 2.79, 2 Ni 2.85

=====

Entry 13:
# AcThBi2

An optimized crystal structure of AcThBi2 (PBE, Alexandria).

Properties
Density, g/cm³: 10.92
Volume, Å³/atom: 33.36
Formation energy, meV per atom: -595
Energy above the most stable polymorph in this dataset, eV/atom: 0.1860
M_tot, μB/f.u.: 0.00

Unit cell a=8.1114 b=8.1114 c=8.1114 alpha=90.00 beta=90.00 gamma=90.00
With the nearest neighbours (Å) after each atom.
Space group Fm-3m (No. 225)
Unique sites:
Ac 0.0000 0.0000 0.0000  8 Bi 3.51
Th 0.0000 0.0000 0.5000  8 Bi 3.51
Bi 0.2500 0.2500 0.2500  4 Ac 3.51, 4 Th 3.51

=====

Entry 14:
# Ba4As2Se

An optimized crystal structure of Ba4As2Se (PBE, Alexandria).

Properties
Density, g/cm³: 4.17
Volume, Å³/atom: 44.27
Formation energy from raw total energies, kJ/mol of atoms: -100
Energy above the most stable polymorph in this dataset, eV/atom: 0.2622
M_tot, μB/f.u.: 0.00

Unit cell a=5.9692 b=5.9692 c=17.3926 alpha=90.00 beta=90.00 gamma=90.00
With the nearest neighbours (Å) after each atom.
Space group I4/mmm (No. 139)
Unique sites:
Ba 0.0000 0.0000 0.1906  1 As 3.18, 1 Se 3.32
Ba 0.0000 0.5000 0.0000  2 Se 2.98
As 0.0000 0.0000 0.3732  1 Ba 3.18
Se 0.0000 0.0000 0.0000  6 Ba 2.98-3.32

=====

Entry 15:
# Ta2SiOs

An optimized crystal structure of Ta2SiOs (PBE, Alexandria).

Properties
Density, g/cm³: 13.74
Volume, Å³/atom: 17.53
Formation energy from raw total energies, kJ/mol of atoms: 44
M_tot, μB/f.u.: 0.00

Unit cell a=3.9309 b=3.9309 c=18.1489 alpha=90.00 beta=90.00 gamma=90.00
With the nearest neighbours (Å) after each atom.
Space group I-42d (No. 122)
Unique sites:
Ta 0.2365 0.2500 0.1250  2 Si 2.64, 2 Os 2.68, 4 Ta 2.71-2.86
Si 0.0000 0.0000 0.0000  4 Ta 2.64, 4 Os 2.78
Os 0.0000 0.0000 0.5000  4 Ta 2.68, 4 Si 2.78

=====

Entry 16:
# CaTe2Ir

An optimized crystal structure of CaTe2Ir (PBE, Alexandria).

Properties
Density, g/cm³: 8.53
Volume, Å³/atom: 23.73
Formation energy from raw total energies, kJ/mol of atoms: -3
Energy above the most stable polymorph in this dataset, eV/atom: 0.5562
M_tot, μB/f.u.: 0.00

Unit cell a=3.5338 b=3.5338 c=7.6019 alpha=90.00 beta=90.00 gamma=90.00
With the nearest neighbours (Å) after each atom.
Space group P4/mmm (No. 123)
Unique sites:
Ca 0.0000 0.0000 0.0000  8 Te 3.32, 4 Ca 3.53
Te 0.5000 0.5000 0.2871  4 Ir 2.98, 1 Te 3.24, 4 Ca 3.32
Ir 0.0000 0.0000 0.5000  8 Te 2.98

=====

Entry 17:
# CdTcRu2

An optimized crystal structure of CdTcRu2 (PBE, Alexandria).

Properties
Density, g/cm³: 10.98
Volume, Å³/atom: 15.60
Formation energy, meV per atom: 345
M_tot, μB/f.u.: 0.00

Unit cell a=9.1524 b=2.7828 c=4.9807 alpha=90.00 beta=100.28 gamma=90.00
With the nearest neighbours (Å) after each atom.
Space group C2/m (No. 12)
Unique sites:
Cd 0.0000 0.0000 0.0000  2 Cd 2.78, 6 Ru 2.80-2.90, 4 Tc 2.85
Tc 0.0000 0.5000 0.5000  6 Ru 2.65-2.80, 2 Tc 2.78, 4 Cd 2.85
Ru 0.2385 0.0000 0.7182  4 Ru 2.62-2.78, 3 Tc 2.65-2.80, 3 Cd 2.80-2.90

=====

Entry 18:
# HgB

An optimized crystal structure of HgB (PBE, Alexandria).

Properties
Density, g/cm³: 7.71
Volume, Å³/atom: 22.78
Formation energy, meV per atom: 1548
Energy above the most stable polymorph in this dataset, eV/atom: 1.0688
M_tot, μB/f.u.: 0.00

Unit cell a=6.4897 b=6.4897 c=6.4897 alpha=90.00 beta=90.00 gamma=90.00
With the nearest neighbours (Å) after each atom.
Space group Pm-3n (No. 223)
Unique sites:
Hg 0.0000 0.2500 0.5000  4 B 2.29
B 0.0000 0.5000 0.2500  4 Hg 2.29

=====

Entry 19:
# ZnCrTe2

An optimized crystal structure of ZnCrTe2 (PBE, Alexandria).

Properties
Density, g/cm³: 6.58
Volume, Å³/atom: 23.50
Formation energy from raw total energies, kJ/mol of atoms: 50
M_tot, μB/f.u.: 4.26

Unit cell a=7.2177 b=7.2177 c=7.2177 alpha=90.00 beta=90.00 gamma=90.00
With the nearest neighbours (Å) after each atom.
Space group F-43m (No. 216)
Unique sites:
Zn 0.0000 0.0000 0.0000  4 Te 3.13, 4 Cr 3.13
Cr 0.2500 0.2500 0.7500  4 Te 3.13, 4 Zn 3.13
Te 0.0000 0.0000 0.5000  4 Cr 3.13, 4 Te 3.13
Te 0.2500 0.2500 0.2500  4 Te 3.13, 4 Zn 3.13

=====

Entry 20:
# PBr2

An optimized crystal structure of PBr2 (PBE, Alexandria).

Properties
Density, g/cm³: 3.38
Volume, Å³/atom: 31.28
Formation energy from raw total energies, kJ/mol of atoms: 28
M_tot, μB/f.u.: 0.00

Unit cell a=4.1035 b=4.1035 c=6.4347 alpha=90.00 beta=90.00 gamma=120.00
With the nearest neighbours (Å) after each atom.
Space group P-3m1 (No. 164)
Unique sites:
P 0.0000 0.0000 0.0000  6 Br 2.73
Br 0.3333 0.6667 0.2094  3 P 2.73

=====

Per-record E, eV for the cell shown: -17.892, -75.534, -53.915, -10.815, -132.165, -144.475, -57.220, -57.291, -16.608, -34.030, -134.089, -37.031, -86.688, -55.431, -154.163, -17.258, -56.908, -23.299, -60.463, -7.887